[1]
# PuU3N6

A geometry-optimized PuU3N6 structure (GGA-PBE, the Alexandria database).

Values from the calculation:
energy relative to the elements, uncorrected = -1.274 eV per atom
V = 306.4 Å³ per cell
DOS(E_F) = 16.1 states/eV/f.u.

Structure (POSCAR):
```
PuU3N6
1.0
6.6761 0.6155 -0.7282
-0.8743 6.6472 -0.7282
0.4917 0.6155 6.6977
N U Pu
12 6 2
Direct
0.8252 0.6040 0.4732
0.9048 0.3240 0.0572
0.9428 0.0952 0.6760
0.3240 0.0572 0.9048
0.6760 0.9428 0.0952
0.0572 0.9048 0.3240
0.3960 0.5268 0.1748
0.5268 0.1748 0.3960
0.1748 0.3960 0.5268
0.6040 0.4732 0.8252
0.0952 0.6760 0.9428
0.4732 0.8252 0.6040
0.0630 0.5539 0.2515
0.2515 0.0630 0.5539
0.9370 0.4461 0.7485
0.7485 0.9370 0.4461
0.5539 0.2515 0.0630
0.4461 0.7485 0.9370
0.5000 0.5000 0.5000
0.0000 0.0000 0.0000
```

***

[2]
# Sr3InO

A geometry-optimized Sr3InO structure (GGA-PBE, the Alexandria database).

Values from the calculation:
energy relative to the elements, uncorrected = -1.123 eV per atom
V = 323.8 Å³ per cell
DOS(E_F) = 3.8 states/eV/f.u.

Structure (POSCAR):
```
Sr3InO
1.0
3.6648 0.0000 0.4910
0.0000 9.0603 0.0000
-1.3000 0.0000 9.5780
Sr In O
6 2 2
Direct
0.9992 0.5670 0.3025
0.4974 0.7500 0.9797
0.5026 0.2500 0.0203
0.0008 0.0670 0.6975
0.0008 0.4330 0.6975
0.9992 0.9330 0.3025
0.5010 0.7500 0.6033
0.4990 0.2500 0.3967
0.4987 0.7500 0.2248
0.5013 0.2500 0.7752
```

***

[3]
# VTe2SeN

A geometry-optimized VTe2SeN structure (GGA-PBE, the Alexandria database).

Values from the calculation:
energy relative to the elements, uncorrected = 0.181 eV per atom
V = 104.7 Å³ per cell
DOS(E_F) = 3.6 states/eV/f.u.

Structure (POSCAR):
```
VTe2SeN
1.0
-2.5694 4.6866 0.3083
-4.1543 -2.4317 2.3430
1.4949 0.6040 3.2775
V Se Te N
1 1 2 1
Direct
0.0000 0.0000 0.0000
0.5000 0.5000 0.5000
0.5000 0.0000 0.0000
0.0000 0.5000 0.0000
0.0000 0.0000 0.5000
```

***

[4]
# TiHgOs2Br

A geometry-optimized TiHgOs2Br structure (GGA-PBE, the Alexandria database).

Values from the calculation:
energy relative to the elements, uncorrected = 2.060 eV per atom
V = 109.3 Å³ per cell
DOS(E_F) = 8.0 states/eV/f.u.

Structure (POSCAR):
```
TiHgOs2Br
1.0
4.5263 0.0000 0.0000
0.0000 5.3346 0.0000
0.0000 0.0000 4.5263
Os Hg Ti Br
2 1 1 1
Direct
0.5000 0.0000 0.0000
0.0000 0.0000 0.5000
0.0000 0.5000 0.0000
0.5000 0.5000 0.5000
0.0000 0.0000 0.0000
```

***

> What is the energy relative to the elements, uncorrected in the second record?

-1.123 eV per atom

***

> The lowest DOS(E_F) belongs to which entry?

VTe2SeN